Entry 1:
# PmDyHo2Te6, relaxed, DFT GGA-PBE
# Raw formation energy = -1.361 eV/atom
data_PmDyHo2Te6
_chemical_formula_sum 'Pm3 Dy3 Ho6 Te18'
_cell_length_a 7.7321
_cell_length_b 7.7321
_cell_length_c 21.1156
_cell_angle_alpha 90.00
_cell_angle_beta 90.00
_cell_angle_gamma 120.00
_symmetry_space_group_name_H-M 'R 3'
_symmetry_Int_Tables_number 146
_symmetry_space_group_name_Hall 'R 3'
loop_
_atom_site_label
_atom_site_fract_x
_atom_site_fract_y
_atom_site_fract_z
Pm1 0.0000 0.0000 0.0000
Dy1 0.0000 0.0000 0.4979
Ho1 0.0000 0.0000 0.3113
Ho2 0.0000 0.0000 0.8128
Te1 0.0047 0.3181 0.9030
Te2 0.0130 0.6971 0.4041

---

Entry 2:
# NaTm2Al, relaxed, DFT GGA-PBE
# Energy relative to the elements = 0.085 eV per atom
# Energy above the lowest structure with this stoichiometry = 139 meV per atom
data_NaTm2Al
_chemical_formula_sum 'Na3 Tm6 Al3'
_cell_length_a 3.4600
_cell_length_b 3.4600
_cell_length_c 34.3532
_cell_angle_alpha 90.00
_cell_angle_beta 90.00
_cell_angle_gamma 120.00
_symmetry_space_group_name_H-M 'R -3 m'
_symmetry_Int_Tables_number 166
_symmetry_space_group_name_Hall '-R 3 2"'
loop_
_atom_site_label
_atom_site_fract_x
_atom_site_fract_y
_atom_site_fract_z
Na1 0.0000 0.0000 0.0000
Tm1 0.0000 0.0000 0.1018
Al1 0.0000 0.0000 0.5000

---

Entry 3:
# Be3GaIr4, relaxed, DFT GGA-PBE
# Energy relative to the elements = -0.508 eV per atom
data_Be3GaIr4
_chemical_formula_sum 'Be3 Ga1 Ir4'
_cell_length_a 4.059
_cell_length_b 4.059
_cell_length_c 5.791
_cell_angle_alpha 90.00
_cell_angle_beta 90.00
_cell_angle_gamma 90.00
_symmetry_space_group_name_H-M 'P 4/m m m'
_symmetry_Int_Tables_number 123
_symmetry_space_group_name_Hall '-P 4 2'
loop_
_atom_site_label
_atom_site_fract_x
_atom_site_fract_y
_atom_site_fract_z
Be1 0.000 0.000 0.000
Be2 0.000 0.000 0.500
Be3 0.500 0.500 0.000
Ga1 0.500 0.500 0.500
Ir1 0.000 0.500 0.238

---

Entry 4:
# Ca6AsAu2N, relaxed, DFT GGA-PBE
# Raw formation energy = -0.759 eV/atom
data_Ca6AsAu2N
_chemical_formula_sum 'Ca12 As2 Au4 N2'
_cell_length_a 6.848
_cell_length_b 7.728
_cell_length_c 11.777
_cell_angle_alpha 90.00
_cell_angle_beta 121.76
_cell_angle_gamma 90.00
_symmetry_space_group_name_H-M 'P 1 21/c 1'
_symmetry_Int_Tables_number 14
_symmetry_space_group_name_Hall '-P 2ybc'
loop_
_atom_site_label
_atom_site_fract_x
_atom_site_fract_y
_atom_site_fract_z
Ca1 0.113 0.034 0.231
Ca2 0.213 0.716 0.055
Ca3 0.348 0.168 0.050
As1 0.500 0.000 0.500
Au1 0.292 0.091 0.750
N1 0.000 0.000 0.000

---

Entry 5:
# TlInSb2Au4, relaxed, DFT GGA-PBE
# Raw formation energy = -0.060 eV/atom
data_TlInSb2Au4
_chemical_formula_sum 'Tl4 In4 Sb8 Au16'
_cell_length_a 8.590
_cell_length_b 11.462
_cell_length_c 7.892
_cell_angle_alpha 90.00
_cell_angle_beta 90.00
_cell_angle_gamma 90.00
_symmetry_space_group_name_H-M 'F m m 2'
_symmetry_Int_Tables_number 42
_symmetry_space_group_name_Hall 'F 2 -2'
loop_
_atom_site_label
_atom_site_fract_x
_atom_site_fract_y
_atom_site_fract_z
Tl1 0.000 0.000 0.000
In1 0.000 0.000 0.499
Sb1 0.250 0.250 0.252
Au1 0.000 0.245 0.502
Au2 0.250 0.000 0.250

---

Entry 6:
# Sr3Br5, relaxed, DFT GGA-PBE
# Raw formation energy = -1.849 eV/atom
# Energy above the lowest structure with this stoichiometry = 9 meV per atom
data_Sr3Br5
_chemical_formula_sum 'Sr12 Br20'
_cell_length_a 11.720
_cell_length_b 11.720
_cell_length_c 7.891
_cell_angle_alpha 90.00
_cell_angle_beta 90.00
_cell_angle_gamma 90.00
_symmetry_space_group_name_H-M 'I 4/m c m'
_symmetry_Int_Tables_number 140
_symmetry_space_group_name_Hall '-I 4 2c'
loop_
_atom_site_label
_atom_site_fract_x
_atom_site_fract_y
_atom_site_fract_z
Sr1 0.000 0.000 0.250
Sr2 0.153 0.347 0.000
Br1 0.000 0.500 0.250
Br2 0.078 0.203 0.500

---

Entry 7:
# RbGa2HgIr, relaxed, DFT GGA-PBE
# Energy relative to the elements = -0.286 eV per atom
data_RbGa2HgIr
_chemical_formula_sum 'Rb1 Ga2 Hg1 Ir1'
_cell_length_a 4.882
_cell_length_b 4.882
_cell_length_c 5.446
_cell_angle_alpha 90.00
_cell_angle_beta 90.00
_cell_angle_gamma 90.00
_symmetry_space_group_name_H-M 'P 4/m m m'
_symmetry_Int_Tables_number 123
_symmetry_space_group_name_Hall '-P 4 2'
loop_
_atom_site_label
_atom_site_fract_x
_atom_site_fract_y
_atom_site_fract_z
Rb1 0.000 0.000 0.000
Ga1 0.000 0.500 0.500
Hg1 0.500 0.500 0.000
Ir1 0.500 0.500 0.500

---

Entry 8:
# CeMg2Cu2Ge2, relaxed, DFT GGA-PBE
# Energy relative to the elements = -0.372 eV per atom
data_CeMg2Cu2Ge2
_chemical_formula_sum 'Ce3 Mg6 Cu6 Ge6'
_cell_length_a 4.2789
_cell_length_b 4.2789
_cell_length_c 24.7920
_cell_angle_alpha 90.00
_cell_angle_beta 90.00
_cell_angle_gamma 120.00
_symmetry_space_group_name_H-M 'R -3 m'
_symmetry_Int_Tables_number 166
_symmetry_space_group_name_Hall '-R 3 2"'
loop_
_atom_site_label
_atom_site_fract_x
_atom_site_fract_y
_atom_site_fract_z
Ce1 0.0000 0.0000 0.0000
Mg1 0.0000 0.0000 0.1351
Cu1 0.0000 0.0000 0.4198
Ge1 0.0000 0.0000 0.2563

---

Entry 9:
# YEr2TmSe4, relaxed, DFT GGA-PBE
# Raw formation energy = -1.699 eV/atom
data_YEr2TmSe4
_chemical_formula_sum 'Y1 Er2 Tm1 Se4'
_cell_length_a 7.007
_cell_length_b 3.995
_cell_length_c 7.060
_cell_angle_alpha 90.00
_cell_angle_beta 108.86
_cell_angle_gamma 90.00
_symmetry_space_group_name_H-M 'P 1 2/m 1'
_symmetry_Int_Tables_number 10
_symmetry_space_group_name_Hall '-P 2y'
loop_
_atom_site_label
_atom_site_fract_x
_atom_site_fract_y
_atom_site_fract_z
Y1 0.000 0.000 0.000
Er1 0.500 0.000 0.500
Er2 0.500 0.500 0.000
Tm1 0.000 0.500 0.500
Se1 0.250 0.000 0.747
Se2 0.253 0.500 0.254

---

Entry 10:
# MnGaCoSe2, relaxed, DFT GGA-PBE
# Raw formation energy = -0.185 eV/atom
# Energy above the lowest structure with this stoichiometry = 16 meV per atom
data_MnGaCoSe2
_chemical_formula_sum 'Mn1 Ga1 Co1 Se2'
_cell_length_a 3.958
_cell_length_b 4.167
_cell_length_c 5.449
_cell_angle_alpha 90.03
_cell_angle_beta 90.38
_cell_angle_gamma 90.03
_symmetry_space_group_name_H-M 'P 1'
_symmetry_Int_Tables_number 1
_symmetry_space_group_name_Hall 'P 1'
loop_
_atom_site_label
_atom_site_fract_x
_atom_site_fract_y
_atom_site_fract_z
Mn1 0.000 0.000 0.000
Ga1 0.443 0.494 0.530
Co1 0.944 0.500 0.284
Se1 0.443 0.501 0.996
Se2 0.932 0.999 0.507

---

Entry 11:
# Cs4BrCl3, relaxed, DFT GGA-PBE
# Raw formation energy = -1.918 eV/atom
data_Cs4BrCl3
_chemical_formula_sum 'Cs8 Br2 Cl6'
_cell_length_a 10.146
_cell_length_b 14.314
_cell_length_c 5.048
_cell_angle_alpha 90.00
_cell_angle_beta 90.00
_cell_angle_gamma 90.00
_symmetry_space_group_name_H-M 'C m m m'
_symmetry_Int_Tables_number 65
_symmetry_space_group_name_Hall '-C 2 2'
loop_
_atom_site_label
_atom_site_fract_x
_atom_site_fract_y
_atom_site_fract_z
Cs1 0.000 0.246 0.000
Cs2 0.241 0.000 0.500
Br1 0.000 0.500 0.000
Cl1 0.000 0.000 0.000
Cl2 0.250 0.250 0.500

---

Entry 12:
# MoIrRh2, relaxed, DFT GGA-PBE
# Energy relative to the elements = -0.162 eV per atom
# Energy above the lowest structure with this stoichiometry = 122 meV per atom
data_MoIrRh2
_chemical_formula_sum 'Mo1 Ir1 Rh2'
_cell_length_a 2.733
_cell_length_b 3.893
_cell_length_c 5.489
_cell_angle_alpha 90.00
_cell_angle_beta 90.00
_cell_angle_gamma 90.00
_symmetry_space_group_name_H-M 'P m m 2'
_symmetry_Int_Tables_number 25
_symmetry_space_group_name_Hall 'P 2 -2'
loop_
_atom_site_label
_atom_site_fract_x
_atom_site_fract_y
_atom_site_fract_z
Mo1 0.000 0.000 0.000
Ir1 0.500 0.500 0.752
Rh1 0.000 0.000 0.502
Rh2 0.500 0.500 0.253

---

Entry 13:
# ErHfAl2, relaxed, DFT GGA-PBE
# Energy relative to the elements = -0.102 eV per atom
# Energy above the lowest structure with this stoichiometry = 193 meV per atom
data_ErHfAl2
_chemical_formula_sum 'Er3 Hf3 Al6'
_cell_length_a 3.2900
_cell_length_b 3.2900
_cell_length_c 28.0840
_cell_angle_alpha 90.00
_cell_angle_beta 90.00
_cell_angle_gamma 120.00
_symmetry_space_group_name_H-M 'R -3 m'
_symmetry_Int_Tables_number 166
_symmetry_space_group_name_Hall '-R 3 2"'
loop_
_atom_site_label
_atom_site_fract_x
_atom_site_fract_y
_atom_site_fract_z
Er1 0.0000 0.0000 0.0000
Hf1 0.0000 0.0000 0.5000
Al1 0.0000 0.0000 0.2460

---

Entry 14:
# Er2ScTl, relaxed, DFT GGA-PBE
# Energy relative to the elements = -0.098 eV per atom
# Energy above the lowest structure with this stoichiometry = 77 meV per atom
data_Er2ScTl
_chemical_formula_sum 'Er6 Sc3 Tl3'
_cell_length_a 3.4863
_cell_length_b 3.4863
_cell_length_c 31.9294
_cell_angle_alpha 90.00
_cell_angle_beta 90.00
_cell_angle_gamma 120.00
_symmetry_space_group_name_H-M 'R 3 m'
_symmetry_Int_Tables_number 160
_symmetry_space_group_name_Hall 'R 3 -2"'
loop_
_atom_site_label
_atom_site_fract_x
_atom_site_fract_y
_atom_site_fract_z
Er1 0.0000 0.0000 0.0000
Er2 0.0000 0.0000 0.1671
Sc1 0.0000 0.0000 0.4168
Tl1 0.0000 0.0000 0.5835